Entry from OQMD via LeMat-Bulk: an optimized crystal structure of BaCu2SiSe3S (PBE).

Output
calculated volume = 202 Å³ per cell
raw total energy = -0.164 Ha/atom

Cell lengths 6.435, 6.438, 6.449 Å; angles 80.83, 60.85, 60.66 degrees
Fractional positions:
Ba1 0.001 0.996 0.995
Cu1 0.502 0.660 0.344
Cu2 0.487 0.343 0.660
S1 0.042 0.506 0.821
Se1 0.380 0.484 0.165
Se2 0.959 0.170 0.489
Se3 0.625 0.840 0.519
Si1 0.004 0.501 0.508

***

Entry from OQMD via LeMat-Bulk: an optimized crystal structure of BaCu2SnSeS3 (PBE).

Output
calculated volume = 204 Å³ per cell
raw total energy = -0.162 Ha/atom

Cell lengths 6.432, 6.474, 6.493 Å; angles 60.27, 60.88, 80.41 degrees
Fractional positions:
Ba1 0.003 0.005 0.993
Cu1 0.329 0.653 0.500
Cu2 0.672 0.345 0.501
S1 0.848 0.497 0.062
S2 0.143 0.493 0.401
S3 0.503 0.153 0.943
Se1 0.505 0.861 0.589
Sn1 0.498 0.493 0.011

***

Table of calculated density (g cm⁻³), in record order: 4.6; 4.5